# CeSm2Se4

A relaxed CeSm2Se4 crystal (GGA-PBE, the Alexandria database).

The volume comes out at 198.4 Å³/f.u. The uncorrected formation energy is -1852 meV/atom.

It has space group Cmcm (No. 63), with a = 4.104 Å, b = 13.776 Å, c = 14.035 Å, α = 90.00°, β = 90.00° and γ = 90.00°. The inequivalent atoms are Ce at (0.000, 0.122, 0.250), Sm at (0.000, 0.369, 0.067), Se at (0.000, 0.000, 0.000), Se at (0.000, 0.275, 0.623) and Se at (0.000, 0.465, 0.250).

***

# Ce2Sm3Se6

A relaxed Ce2Sm3Se6 crystal (GGA-PBE, the Alexandria database).

The volume comes out at 308.9 Å³/f.u. The uncorrected formation energy is -1864 meV/atom.

It has space group C2/m (No. 12), with a = 7.219 Å, b = 12.490 Å, c = 7.262 Å, α = 90.00°, β = 109.36° and γ = 90.00°. The inequivalent atoms are Ce at (0.000, 0.166, 0.000), Sm at (0.000, 0.000, 0.500), Sm at (0.000, 0.335, 0.500), Se at (0.247, 0.500, 0.752) and Se at (0.249, 0.334, 0.251).

***

# CeSmSe2

A relaxed CeSmSe2 crystal (GGA-PBE, the Alexandria database).

The volume comes out at 105.8 Å³/f.u. The energy above the most stable polymorph in this dataset is 69 meV per atom. The uncorrected formation energy is -1758 meV/atom.

It has space group R3m (No. 160, hexagonal axes), with a = 4.0713 Å, b = 4.0713 Å, c = 22.1018 Å, α = 90.00°, β = 90.00° and γ = 120.00°. The inequivalent atoms are Ce at (0.0000, 0.0000, 0.0000), Sm at (0.0000, 0.0000, 0.1758), Se at (0.0000, 0.0000, 0.4217) and Se at (0.0000, 0.0000, 0.5876).

***

Repeat the second record exactly.
# Ce2Sm3Se6

A relaxed Ce2Sm3Se6 crystal (GGA-PBE, the Alexandria database).

The volume comes out at 308.9 Å³/f.u. The uncorrected formation energy is -1864 meV/atom.

It has space group C2/m (No. 12), with a = 7.219 Å, b = 12.490 Å, c = 7.262 Å, α = 90.00°, β = 109.36° and γ = 90.00°. The inequivalent atoms are Ce at (0.000, 0.166, 0.000), Sm at (0.000, 0.000, 0.500), Sm at (0.000, 0.335, 0.500), Se at (0.247, 0.500, 0.752) and Se at (0.249, 0.334, 0.251).